# 1
A plane-wave DFT calculation with GGA-PBE was carried out for a relaxed structure of NaTb2Pt9.

Structure (POSCAR):
```
NaTb2Pt9
1.0
-1.402 1.906 -4.890
-3.554 -2.736 -3.065
-8.254 4.218 0.992
Na Tb Pt
1 2 9
direct
0.000 0.000 0.000
0.863 0.863 0.411
0.137 0.137 0.589
0.668 0.668 0.997
0.332 0.332 0.003
0.500 0.500 0.500
0.412 0.412 0.255
0.920 0.412 0.255
0.412 0.920 0.255
0.588 0.588 0.745
0.588 0.080 0.745
0.080 0.588 0.745
```

Summary:
Calculated volume ... 18.70 Å³/atom
Space group ... R-3m (166)
VASP energy ... -6.126 eV/atom

=====

# 2
A plane-wave DFT calculation with GGA-PBE was carried out for a relaxed structure of NaTb3Pt8.

Structure (POSCAR):
```
NaTb3Pt8
1.0
5.435 0.000 0.000
2.718 4.707 0.000
2.718 1.569 8.839
Na Tb Pt
1 3 8
direct
0.872 0.872 0.384
0.378 0.378 0.866
0.994 0.994 0.019
0.506 0.506 0.482
0.942 0.437 0.184
0.434 0.938 0.691
0.437 0.437 0.184
0.938 0.938 0.691
0.188 0.188 0.437
0.688 0.688 0.937
0.437 0.942 0.184
0.938 0.434 0.691
```

Summary:
Calculated volume ... 18.85 Å³/atom
Space group ... R3m (160)
VASP energy ... -6.273 eV/atom

=====

# 3
A plane-wave DFT calculation with GGA-PBE was carried out for a relaxed structure of Na2Tc2Pt.

Structure (POSCAR):
```
Na2Tc2Pt
1.0
3.599 0.000 0.000
0.000 3.599 0.000
1.800 1.800 7.416
Na Tc Pt
2 2 1
direct
0.750 0.250 0.500
0.250 0.750 0.500
0.426 0.426 0.148
0.574 0.574 0.852
0.000 0.000 0.000
```

Summary:
Calculated volume ... 19.21 Å³/atom
Space group ... I4/mmm (139)
VASP energy ... -4.904 eV/atom

=====

# 4
A plane-wave DFT calculation with GGA-PBE was carried out for a relaxed structure of NaTc3Pt.

Structure (POSCAR):
```
NaTc3Pt
1.0
4.871 0.000 0.000
0.000 4.871 0.000
0.000 0.000 4.871
Na Tc Pt
1 3 1
direct
0.500 0.500 0.500
0.000 0.500 0.000
0.000 0.000 0.500
0.500 0.000 0.000
0.000 0.000 0.000
```

Summary:
Calculated volume ... 23.12 Å³/atom
Space group ... Pm-3m (221)
VASP energy ... -5.884 eV/atom

=====

# 5
A plane-wave DFT calculation with GGA-PBE was carried out for a relaxed structure of Na2TcPt.

Structure (POSCAR):
```
Na2TcPt
1.0
3.830 -2.778 0.159
3.224 0.607 3.414
0.444 -3.225 3.437
Na Tc Pt
2 1 1
direct
0.250 0.250 0.250
0.750 0.750 0.750
0.000 0.000 0.000
0.500 0.500 0.500
```

Summary:
Calculated volume ... 18.76 Å³/atom
Space group ... Fm-3m (225)
VASP energy ... -3.867 eV/atom

=====

# 6
A plane-wave DFT calculation with GGA-PBE was carried out for a relaxed structure of Na2Tc2Pt.

Structure (POSCAR):
```
Na2Tc2Pt
1.0
6.441 0.000 0.000
0.000 6.441 0.000
0.000 0.000 5.178
Na Tc Pt
4 4 2
direct
0.183 0.683 0.500
0.683 0.817 0.500
0.817 0.317 0.500
0.317 0.183 0.500
0.381 0.881 0.000
0.881 0.619 0.000
0.619 0.119 0.000
0.119 0.381 0.000
0.000 0.000 0.000
0.500 0.500 0.000
```

Summary:
Calculated volume ... 21.48 Å³/atom
Space group ... P4/mbm (127)
VASP energy ... -5.276 eV/atom

=====

# 7
A plane-wave DFT calculation with GGA-PBE was carried out for a relaxed structure of NaTcPt2.

Structure (POSCAR):
```
NaTcPt2
1.0
7.356 0.000 0.000
0.000 7.356 0.000
3.678 3.678 2.766
Na Tc Pt
2 2 4
direct
0.500 0.500 0.000
0.250 0.750 0.500
0.000 0.000 0.000
0.750 0.250 0.500
0.658 0.125 0.250
0.092 0.625 0.250
0.375 0.342 0.750
0.875 0.908 0.750
```

Summary:
Calculated volume ... 18.71 Å³/atom
Space group ... I-42d (122)
VASP energy ... -5.416 eV/atom

=====

# 8
A plane-wave DFT calculation with GGA-PBE was carried out for a relaxed structure of NaTcPt2.

Structure (POSCAR):
```
NaTcPt2
1.0
3.633 -0.570 -2.628
2.802 -3.469 0.739
0.156 -3.442 -2.925
Na Tc Pt
1 1 2
direct
0.000 0.000 0.000
0.500 0.500 0.500
0.250 0.250 0.250
0.750 0.750 0.750
```

Summary:
Calculated volume ... 16.32 Å³/atom
Space group ... Fm-3m (225)
VASP energy ... -5.653 eV/atom

=====

Among the records above, which one has the lowest VASP energy?
NaTb3Pt8